Computed, not measured: KBi2Au after structural relaxation at the GGA-PBE level of DFT.

Properties
Excess energy over the best structure of this formula in the dataset   110 meV per atom
E_form   -129 meV per atom
SG   R-3m, No. 166

a b c (Å): 8.311 8.311 8.311
angles (deg): 31.72 31.72 31.72
Positions (direct):
K1 0.000 0.000 0.000
Bi1 0.219 0.219 0.219
Bi2 0.781 0.781 0.781
Au1 0.500 0.500 0.500